Entry 1:
A relaxed structure of CdIn2TeS3, computed with PBE.

## Properties
- SG: P1 (1)
- E_tot: -0.1344 Ha/atom

Cell: 5.8902 5.9980 6.9739 Å, 112.50 112.54 92.18°
Last column: nearest neighbours and their distance in Å.
Sites, in units of the cell vectors:
1 S 0.1328 0.1319 0.7350  2 In 2.52, 1 Cd 2.58
2 S 0.6198 0.6180 0.7344  2 In 2.51-2.52, 1 Cd 2.59
3 S 0.8772 0.3831 0.2422  2 In 2.50-2.52, 1 Cd 2.59
4 Te 0.3621 0.8576 0.2967  2 In 2.80-2.81, 1 Cd 2.84
5 In 0.5036 0.4932 0.9947  3 S 2.51-2.52, 1 Te 2.80
6 In 0.7646 0.2651 0.5070  3 S 2.50-2.52
7 Cd 0.9899 0.0010 0.9899  3 S 2.58-2.59, 1 Te 2.84



Entry 2:
A relaxed structure of PrDy2Hg3PdAu2, computed with PBE.

## Properties
- SG: Amm2 (38)
- E_tot: -0.1329 Ha/atom
- E_form: -0.66 eV/atom

Cell: 3.8360 7.9570 7.9570 Å, 120.41 90.00 90.00°
Last column: nearest neighbours and their distance in Å.
Sites, in units of the cell vectors:
1 Au 0.5000 0.3271 0.6688  3 Hg 2.90-3.00, 4 Dy 3.07-3.09, 2 Pr 3.16
2 Au 0.5000 0.6688 0.3271  3 Hg 2.90-3.00, 4 Dy 3.07-3.09, 2 Pr 3.16
3 Pd 0.0000 0.0031 0.0031  6 Hg 2.81-2.86, 2 Dy 3.12
4 Hg 0.5000 0.7363 0.0018  2 Pd 2.86, 2 Au 2.90-2.98
5 Hg 0.5000 0.2631 0.2631  2 Pd 2.81, 2 Au 3.00
6 Hg 0.5000 0.0018 0.7363  2 Pd 2.86, 2 Au 2.90-2.98
7 Dy 0.0000 0.0011 0.3938  4 Au 3.07-3.09, 1 Pd 3.12, 6 Hg 3.33-3.36
8 Dy 0.0000 0.3938 0.0011  4 Au 3.07-3.09, 1 Pd 3.12, 6 Hg 3.33-3.36
9 Pr 0.0000 0.6049 0.6049  1 Pd 3.15, 4 Au 3.16, 6 Hg 3.31-3.38



Entry 3:
A relaxed structure of RbAcPm, computed with PBE.

## Properties
- SG: F-43m (216)
- E_tot: -0.0788 Ha/atom

Cell: 6.2804 6.2804 6.2804 Å, 60.00 60.00 60.00°
Last column: nearest neighbours and their distance in Å.
Sites, in units of the cell vectors:
1 Rb 0.7500 0.7500 0.7500  4 Ac 3.85
2 Pm 0.2500 0.2500 0.2500  4 Ac 3.85
3 Ac 0.0000 0.0000 0.0000  4 Rb 3.85, 4 Pm 3.85



Entry 4:
A relaxed structure of RbErGa4Au2, computed with PBE.

## Properties
- SG: Amm2 (38)
- E_tot: -0.1219 Ha/atom

Cell: 6.8640 5.8011 5.8011 Å, 47.31 90.00 90.00°
Last column: nearest neighbours and their distance in Å.
Sites, in units of the cell vectors:
1 Ga 0.8115 0.8747 0.8747  2 Ga 2.59-2.74, 3 Au 2.78-2.85
2 Ga 0.7011 0.1223 0.1223  2 Ga 2.74-2.76, 3 Au 2.78-2.82
3 Ga 0.2989 0.1223 0.1223  2 Ga 2.74-2.76, 3 Au 2.78-2.82
4 Ga 0.1885 0.8747 0.8747  2 Ga 2.59-2.74, 3 Au 2.78-2.85
5 Au 0.0000 0.2993 0.2993  6 Ga 2.78
6 Au 0.5000 0.6981 0.6981  6 Ga 2.82-2.85, 1 Rb 3.07
7 Er 0.0000 0.5990 0.5990  6 Ga 3.11-3.20, 3 Au 3.15-3.18
8 Rb 0.5000 0.4097 0.4097  3 Au 3.07-3.24, 6 Ga 3.18-3.35



Entry 5:
A relaxed structure of Li3Er3Si2Ge, computed with PBE.

## Properties
- SG: P-62m (189)
- E_tot: -0.1660 Ha/atom

Cell: 6.9341 6.9341 4.2088 Å, 90.00 90.00 120.00°
Last column: nearest neighbours and their distance in Å.
Sites, in units of the cell vectors:
1 Ge 0.0000 0.0000 0.0000  6 Li 2.65, 3 Er 2.97
2 Er 0.0000 0.4282 0.0000  4 Si 2.95, 1 Ge 2.97, 2 Li 3.16
3 Er 0.5718 0.5718 0.0000  4 Si 2.95, 1 Ge 2.97, 2 Li 3.16
4 Er 0.4282 0.0000 0.0000  4 Si 2.95, 1 Ge 2.97, 2 Li 3.16
5 Li 0.2326 0.2326 0.5000  2 Ge 2.65, 2 Si 2.73, 2 Li 2.79
6 Li 0.7674 0.0000 0.5000  2 Ge 2.65, 2 Si 2.73, 2 Li 2.79
7 Li 0.0000 0.7674 0.5000  2 Ge 2.65, 2 Si 2.73, 2 Li 2.79
8 Si 0.3333 0.6667 0.5000  3 Li 2.73, 6 Er 2.95
9 Si 0.6667 0.3333 0.5000  3 Li 2.73, 6 Er 2.95



Entry 6:
A relaxed structure of CsUIn, computed with PBE.

## Properties
- SG: F-43m (216)
- E_tot: -0.1319 Ha/atom

Cell: 5.7796 5.7796 5.7796 Å, 60.00 60.00 60.00°
Last column: nearest neighbours and their distance in Å.
Sites, in units of the cell vectors:
1 U 0.7500 0.7500 0.7500  4 In 3.54
2 Cs 0.2500 0.2500 0.2500  4 In 3.54
3 In 0.0000 0.0000 0.0000  4 U 3.54, 4 Cs 3.54



Entry 7:
A relaxed structure of TmZr2Ga2, computed with PBE.

## Properties
- SG: P4/mbm (127)
- E_tot: -0.2210 Ha/atom

Cell: 7.4873 7.4873 3.7537 Å, 90.00 90.00 90.00°
Last column: nearest neighbours and their distance in Å.
Sites, in units of the cell vectors:
1 Ga 0.6206 0.1206 0.0000  1 Ga 2.55, 2 Zr 2.86
2 Ga 0.8794 0.6206 0.0000  1 Ga 2.55, 2 Zr 2.86
3 Ga 0.1206 0.3794 0.0000  1 Ga 2.55, 2 Zr 2.86
4 Ga 0.3794 0.8794 0.0000  1 Ga 2.55, 2 Zr 2.86
5 Tm 0.0000 0.0000 0.0000  4 Ga 2.98
6 Tm 0.5000 0.5000 0.0000  4 Ga 2.98
7 Zr 0.1757 0.6757 0.5000  6 Ga 2.86-2.94
8 Zr 0.8243 0.3243 0.5000  6 Ga 2.86-2.94
9 Zr 0.6757 0.8243 0.5000  6 Ga 2.86-2.94
10 Zr 0.3243 0.1757 0.5000  6 Ga 2.86-2.94



Entry 8:
A relaxed structure of HfZnNi2, computed with PBE.

## Properties
- SG: F-43m (216)
- E_tot: -0.2132 Ha/atom
- E_form: -0.21 eV/atom

Cell: 4.2985 4.2985 4.2985 Å, 60.00 60.00 60.00°
Last column: nearest neighbours and their distance in Å.
Sites, in units of the cell vectors:
1 Zn 0.0000 0.0000 0.0000  4 Hf 2.63, 4 Ni 2.63
2 Ni 0.5000 0.5000 0.5000  4 Ni 2.63, 4 Hf 2.63
3 Ni 0.7500 0.7500 0.7500  4 Zn 2.63, 4 Ni 2.63
4 Hf 0.2500 0.2500 0.2500  4 Zn 2.63, 4 Ni 2.63



Entry 9:
A relaxed structure of NaHoSnTe3, computed with PBE.

## Properties
- SG: Cmcm (63)
- E_tot: -0.1444 Ha/atom

Cell: 7.8753 7.8753 11.4971 Å, 90.00 90.00 146.14°
Last column: nearest neighbours and their distance in Å.
Sites, in units of the cell vectors:
1 Ho 0.5000 0.5000 0.5000  6 Te 3.16-3.33
2 Ho 0.5000 0.5000 0.0000  6 Te 3.16-3.33
3 Te 0.1401 0.8599 0.9561  1 Sn 3.00, 2 Ho 3.16
4 Te 0.8599 0.1401 0.4561  1 Sn 3.00, 2 Ho 3.16
5 Te 0.6112 0.3888 0.2500  2 Sn 3.00, 2 Na 3.31, 2 Ho 3.33
6 Te 0.1401 0.8599 0.5439  1 Sn 3.00, 2 Ho 3.16
7 Te 0.8599 0.1401 0.0439  1 Sn 3.00, 2 Ho 3.16
8 Te 0.3888 0.6112 0.7500  2 Sn 3.00, 2 Na 3.31, 2 Ho 3.33
9 Sn 0.0177 0.9823 0.7500  4 Te 3.00
10 Sn 0.9823 0.0177 0.2500  4 Te 3.00
11 Na 0.2696 0.7304 0.2500  6 Te 3.31-3.57
12 Na 0.7304 0.2696 0.7500  6 Te 3.31-3.57



Entry 10:
A relaxed structure of Li4ZnPPd2, computed with PBE.

## Properties
- SG: P-4m2 (115)
- E_tot: -0.1329 Ha/atom

Cell: 4.2654 4.2654 5.8660 Å, 90.00 90.00 90.00°
Last column: nearest neighbours and their distance in Å.
Sites, in units of the cell vectors:
1 Li 0.5000 0.5000 0.0000  4 Pd 2.52, 4 Li 2.56
2 Li 0.0000 0.0000 0.5000  4 Li 2.62, 4 Pd 2.66
3 Li 0.5000 0.0000 0.2420  4 Li 2.56-2.62, 2 P 2.56, 2 Zn 2.62, 1 Pd 2.76
4 Li 0.0000 0.5000 0.7580  4 Li 2.56-2.62, 2 P 2.56, 2 Zn 2.62, 1 Pd 2.76
5 Zn 0.5000 0.5000 0.5000  4 Li 2.62, 4 Pd 2.66
6 P 0.0000 0.0000 0.0000  4 Pd 2.52, 4 Li 2.56
7 Pd 0.0000 0.5000 0.2281  5 Li 2.52-2.76, 2 P 2.52, 2 Zn 2.66
8 Pd 0.5000 0.0000 0.7719  5 Li 2.52-2.76, 2 P 2.52, 2 Zn 2.66



Entry 11:
A relaxed structure of CdAg2Te, computed with PBE.

## Properties
- SG: F-43m (216)
- E_tot: -0.0849 Ha/atom

Cell: 5.0244 5.0244 5.0244 Å, 60.00 60.00 60.00°
Last column: nearest neighbours and their distance in Å.
Sites, in units of the cell vectors:
1 Cd 0.5000 0.5000 0.5000  4 Te 3.08, 4 Ag 3.08
2 Ag 0.0000 0.0000 0.0000  4 Te 3.08, 4 Ag 3.08
3 Ag 0.2500 0.2500 0.2500  4 Cd 3.08, 4 Ag 3.08
4 Te 0.7500 0.7500 0.7500  4 Cd 3.08, 4 Ag 3.08



Entry 12:
A relaxed structure of TbSbN2O, computed with PBE.

## Properties
- SG: P1 (1)
- E_tot: -0.2591 Ha/atom

Cell: 7.8986 8.0283 8.0348 Å, 89.81 89.98 88.20°
Last column: nearest neighbours and their distance in Å.
Sites, in units of the cell vectors:
1 Sb 0.7283 0.2361 0.4903  4 N 2.04-2.09, 2 O 2.18-2.20
2 Sb 0.2175 0.2438 0.4849  4 N 2.04-2.08, 2 O 2.18-2.19
3 Sb 0.7231 0.2566 0.0100  4 N 2.05-2.09, 2 O 2.17-2.18
4 Sb 0.7319 0.7562 0.5153  4 N 2.04-2.08, 2 O 2.18-2.19
5 Sb 0.2260 0.7434 0.9898  4 N 2.05-2.09, 2 O 2.17-2.18
6 Sb 0.2210 0.7638 0.5099  4 N 2.04-2.09, 2 O 2.18-2.20
7 Sb 0.7259 0.7379 0.9922  4 N 2.04-2.08, 2 O 2.17-2.22
8 Sb 0.2235 0.2624 0.0081  4 N 2.04-2.08, 2 O 2.17-2.22
9 N 0.4748 0.8111 0.9527  2 Sb 2.07-2.08
10 N 0.6706 0.5015 0.0669  2 Sb 2.05
11 N 0.4746 0.7924 0.5597  2 Sb 2.06-2.08
12 N 0.7600 0.6618 0.7516  2 Sb 2.04-2.05
13 N 0.4745 0.1884 0.0464  2 Sb 2.07-2.08
14 N 0.8041 0.2045 0.2482  2 Sb 2.05-2.06
15 N 0.4748 0.2073 0.4406  2 Sb 2.06-2.07
16 N 0.1449 0.7960 0.7518  2 Sb 2.05-2.06
17 N 0.9773 0.7053 0.0652  2 Sb 2.08-2.09
18 N 0.9719 0.2953 0.9353  2 Sb 2.08-2.09
19 N 0.7724 0.9983 0.5736  2 Sb 2.04
20 N 0.2783 0.4986 0.9325  2 Sb 2.05
21 N 0.9714 0.3038 0.5595  2 Sb 2.08-2.09, 1 Tb 2.32
22 N 0.1896 0.3384 0.2485  2 Sb 2.04-2.05
23 N 0.1774 0.0016 0.4259  2 Sb 2.04
24 N 0.9779 0.6961 0.4402  2 Sb 2.08-2.09, 1 Tb 2.32
25 Tb 0.9926 0.0488 0.7550  4 N 2.32-2.58, 2 O 2.34-2.39
26 Tb 0.0157 0.5176 0.7461  5 N 2.30-2.56
27 Tb 0.4535 0.4678 0.2569  2 O 2.31-2.34, 3 N 2.32-2.56
28 Tb 0.4417 0.9783 0.2455  2 O 2.30-2.41, 3 N 2.34-2.54
29 Tb 0.9566 0.9515 0.2451  4 N 2.32-2.58, 2 O 2.34-2.39
30 Tb 0.5070 0.0219 0.7543  2 O 2.30-2.41, 3 N 2.34-2.55
31 Tb 0.9339 0.4825 0.2536  5 N 2.30-2.57
32 Tb 0.4962 0.5322 0.7438  3 N 2.31-2.56, 2 O 2.32-2.34
33 O 0.1743 0.0021 0.0553  2 Sb 2.17, 1 Tb 2.34
34 O 0.6739 0.5006 0.4476  2 Sb 2.18-2.19, 1 Tb 2.34
35 O 0.6894 0.8189 0.2538  2 Sb 2.18-2.22, 2 Tb 2.30-2.39
36 O 0.2594 0.1809 0.7459  2 Sb 2.18-2.22, 2 Tb 2.30-2.39
37 O 0.6506 0.2822 0.7490  2 Sb 2.18-2.20, 2 Tb 2.32-2.41
38 O 0.2991 0.7173 0.2510  2 Sb 2.18-2.20, 2 Tb 2.31-2.41
39 O 0.7755 0.9979 0.9451  2 Sb 2.17, 1 Tb 2.34
40 O 0.2755 0.4991 0.5530  2 Sb 2.18-2.19, 1 Tb 2.34



Entry 13:
A relaxed structure of Gd2YZn3Ir2Pt, computed with PBE.

## Properties
- SG: Amm2 (38)
- E_tot: -0.2054 Ha/atom
- E_form: -0.77 eV/atom

Cell: 3.9095 7.2142 7.2142 Å, 119.92 90.00 90.00°
Last column: nearest neighbours and their distance in Å.
Sites, in units of the cell vectors:
1 Gd 0.0000 0.4082 0.9997  4 Ir 2.93, 1 Pt 2.94, 6 Zn 3.13-3.24
2 Gd 0.0000 0.9997 0.4082  4 Ir 2.93, 1 Pt 2.94, 6 Zn 3.13-3.24
3 Zn 0.5000 0.9986 0.7468  2 Pt 2.67, 2 Ir 2.74-2.75
4 Zn 0.5000 0.7468 0.9986  2 Pt 2.67, 2 Ir 2.74-2.75
5 Zn 0.5000 0.2546 0.2546  2 Pt 2.68, 2 Ir 2.73
6 Ir 0.5000 0.6661 0.3330  3 Zn 2.73-2.75, 4 Gd 2.93, 2 Y 2.93
7 Ir 0.5000 0.3330 0.6661  3 Zn 2.73-2.75, 4 Gd 2.93, 2 Y 2.93
8 Y 0.0000 0.5928 0.5928  4 Ir 2.93, 1 Pt 2.94, 6 Zn 3.13-3.22
9 Pt 0.0000 0.0003 0.0003  6 Zn 2.67-2.68, 1 Y 2.94, 2 Gd 2.94



Entry 14:
A relaxed structure of RbSiAgSe3, computed with PBE.

## Properties
- SG: Cmcm (63)
- E_tot: -0.1329 Ha/atom

Cell: 8.1754 8.1754 10.6740 Å, 90.00 90.00 25.67°
Last column: nearest neighbours and their distance in Å.
Sites, in units of the cell vectors:
1 Si 0.0000 0.0000 0.0000  6 Se 2.54-2.76
2 Si 0.0000 0.0000 0.5000  6 Se 2.54-2.76
3 Se 0.9550 0.9550 0.2500  2 Ag 2.70, 2 Si 2.76
4 Se 0.3890 0.3890 0.9823  1 Ag 2.53, 2 Si 2.54
5 Se 0.3890 0.3890 0.5177  1 Ag 2.53, 2 Si 2.54
6 Se 0.0450 0.0450 0.7500  2 Ag 2.70, 2 Si 2.76
7 Se 0.6110 0.6110 0.0177  1 Ag 2.53, 2 Si 2.54
8 Se 0.6110 0.6110 0.4823  1 Ag 2.53, 2 Si 2.54
9 Ag 0.4196 0.4196 0.7500  4 Se 2.53-2.70
10 Ag 0.5804 0.5804 0.2500  4 Se 2.53-2.70
11 Rb 0.2673 0.2673 0.2500  4 Se 3.45-3.50, 2 Ag 3.49, 2 Rb 3.63
12 Rb 0.7327 0.7327 0.7500  4 Se 3.45-3.50, 2 Ag 3.49, 2 Rb 3.63



Entry 15:
A relaxed structure of ErSb, computed with PBE.

## Properties
- SG: Fm-3m (225)
- E_tot: -0.1998 Ha/atom

Cell: 4.3453 4.3453 4.3453 Å, 120.00 90.00 120.00°
Last column: nearest neighbours and their distance in Å.
Sites, in units of the cell vectors:
1 Er 0.0000 0.0000 0.0000  6 Sb 3.07
2 Sb 0.5000 0.0000 0.5000  6 Er 3.07



Entry 16:
A relaxed structure of TmZrTa, computed with PBE.

## Properties
- SG: F-43m (216)
- E_tot: -0.2545 Ha/atom
- E_form: 1.37 eV/atom

Cell: 4.7729 4.7729 4.7729 Å, 60.00 60.00 60.00°
Last column: nearest neighbours and their distance in Å.
Sites, in units of the cell vectors:
1 Ta 0.2500 0.2500 0.2500  4 Tm 2.92
2 Tm 0.0000 0.0000 0.0000  4 Zr 2.92, 4 Ta 2.92
3 Zr 0.7500 0.7500 0.7500  4 Tm 2.92



Entry 17:
A relaxed structure of ErScAl4Co2, computed with PBE.

## Properties
- SG: Amm2 (38)
- E_tot: -0.2042 Ha/atom

Cell: 6.9604 5.1936 5.1936 Å, 45.29 90.00 90.00°
Last column: nearest neighbours and their distance in Å.
Sites, in units of the cell vectors:
1 Al 0.1912 0.3451 0.3451  3 Co 2.47, 1 Al 2.66
2 Al 0.8088 0.3451 0.3451  3 Co 2.47, 1 Al 2.66
3 Al 0.2995 0.6537 0.6537  3 Co 2.44-2.51
4 Al 0.7005 0.6537 0.6537  3 Co 2.44-2.51
5 Er 0.5000 0.9373 0.9373  3 Co 2.69-2.91
6 Co 0.5000 0.2174 0.2174  6 Al 2.47-2.51, 1 Er 2.69
7 Co 0.0000 0.7866 0.7866  6 Al 2.44-2.47, 1 Sc 2.63
8 Sc 0.0000 0.0611 0.0611  3 Co 2.63-2.94



Entry 18:
A relaxed structure of Pr2Au, computed with PBE.

## Properties
- SG: Fd-3m (227)
- E_tot: -0.1216 Ha/atom
- E_form: 0.96 eV/atom

Cell: 9.1959 9.1959 9.1959 Å, 60.00 60.00 60.00°
Last column: nearest neighbours and their distance in Å.
Sites, in units of the cell vectors:
1 Au 0.0000 0.0000 0.0000  4 Pr 2.82
2 Au 0.7500 0.7500 0.7500  4 Pr 2.82
3 Pr 0.8750 0.8750 0.3750  2 Au 2.82
4 Pr 0.8750 0.3750 0.8750  2 Au 2.82
5 Pr 0.8750 0.8750 0.8750  2 Au 2.82
6 Pr 0.3750 0.8750 0.8750  2 Au 2.82



Entry 19:
A relaxed structure of NiSnBAu, computed with PBE.

## Properties
- SG: F-43m (216)
- E_tot: -0.1518 Ha/atom

Cell: 4.3820 4.3820 4.3820 Å, 60.00 60.00 60.00°
Last column: nearest neighbours and their distance in Å.
Sites, in units of the cell vectors:
1 Sn 0.2500 0.2500 0.2500  4 Ni 2.68, 4 B 2.68
2 Au 0.7500 0.7500 0.7500  4 Ni 2.68, 4 B 2.68
3 B 0.0000 0.0000 0.0000  4 Sn 2.68, 4 Au 2.68
4 Ni 0.5000 0.5000 0.5000  4 Sn 2.68, 4 Au 2.68



Entry 20:
A relaxed structure of DyLuTlTe3, computed with PBE.

## Properties
- SG: Cmcm (63)
- E_tot: -0.1631 Ha/atom

Cell: 7.9941 7.9941 11.9413 Å, 90.00 90.00 148.04°
Last column: nearest neighbours and their distance in Å.
Sites, in units of the cell vectors:
1 Te 0.3578 0.6422 0.4684  1 Lu 2.88, 2 Dy 3.12
2 Te 0.3578 0.6422 0.0316  1 Lu 2.88, 2 Dy 3.12
3 Te 0.9359 0.0641 0.7500  2 Lu 2.93, 2 Dy 3.14
4 Te 0.6422 0.3578 0.5316  1 Lu 2.88, 2 Dy 3.12
5 Te 0.0641 0.9359 0.2500  2 Lu 2.93, 2 Dy 3.14
6 Te 0.6422 0.3578 0.9684  1 Lu 2.88, 2 Dy 3.12
7 Dy 0.0000 0.0000 0.5000  6 Te 3.12-3.14
8 Dy 0.0000 0.0000 0.0000  6 Te 3.12-3.14
9 Lu 0.4380 0.5620 0.2500  4 Te 2.88-2.93
10 Lu 0.5620 0.4380 0.7500  4 Te 2.88-2.93
11 Tl 0.2490 0.7510 0.7500  8 Te 3.62-3.79, 2 Lu 3.62
12 Tl 0.7510 0.2490 0.2500  8 Te 3.62-3.79, 2 Lu 3.62